SrGdSn: optimized geometry, PBE-GGA.

Calculated values
Total energy = -3.872 eV/atom

a = 5.3865 Å, b = 5.3865 Å, c = 16.0187 Å
α = 90.00°, β = 90.00°, γ = 120.00°
Closest atoms and distances in Å follow each position.
Atoms (fractional coordinates):
Gd  0.6667  0.3333  0.6052  4 Sn 3.11-3.47
Gd  0.3333  0.6667  0.3948  4 Sn 3.11-3.47
Gd  0.3333  0.6667  0.1052  4 Sn 3.11-3.47
Gd  0.6667  0.3333  0.8948  4 Sn 3.11-3.47
Sr  0.0000  0.0000  0.5000  6 Gd 3.54, 6 Sn 3.59
Sr  0.0000  0.0000  0.2500  6 Sn 3.82, 6 Gd 3.88, 2 Sr 4.00
Sr  0.0000  0.0000  0.0000  6 Gd 3.54, 6 Sn 3.59
Sr  0.0000  0.0000  0.7500  6 Sn 3.82, 6 Gd 3.88, 2 Sr 4.00
Sn  0.6667  0.3333  0.1115  4 Gd 3.11-3.47
Sn  0.3333  0.6667  0.8885  4 Gd 3.11-3.47
Sn  0.3333  0.6667  0.6115  4 Gd 3.11-3.47
Sn  0.6667  0.3333  0.3885  4 Gd 3.11-3.47

***

K2RbPtF5: optimized geometry, PBE-GGA.

Calculated values
Total energy = -4.254 eV/atom

a = 6.9522 Å, b = 6.9522 Å, c = 6.1404 Å
α = 90.00°, β = 90.00°, γ = 90.00°
Closest atoms and distances in Å follow each position.
Atoms (fractional coordinates):
Rb  0.0000  0.0000  0.0000  10 F 3.01-3.07
Rb  0.5000  0.5000  0.0000  10 F 3.01-3.07
F  0.6437  0.1437  0.7742  1 Pt 1.98
F  0.0000  0.0000  0.5000  4 K 2.59
F  0.5000  0.5000  0.5000  4 K 2.59
F  0.8563  0.6437  0.7742  1 Pt 1.98
F  0.1437  0.3563  0.7742  1 Pt 1.98
F  0.3563  0.8563  0.2258  1 Pt 1.98
F  0.3563  0.8563  0.7742  1 Pt 1.98
F  0.6437  0.1437  0.2258  1 Pt 1.98
F  0.1437  0.3563  0.2258  1 Pt 1.98
F  0.8563  0.6437  0.2258  1 Pt 1.98
K  0.8320  0.3320  0.5000  8 F 2.50-2.75
K  0.1680  0.6680  0.5000  8 F 2.50-2.75
K  0.6680  0.8320  0.5000  8 F 2.50-2.75
K  0.3320  0.1680  0.5000  8 F 2.50-2.75
Pt  0.5000  0.0000  0.0000  4 F 1.98
Pt  0.0000  0.5000  0.0000  4 F 1.98

***

GeMoIr: optimized geometry, PBE-GGA.

Calculated values
Total energy = -7.788 eV/atom

a = 4.1624 Å, b = 4.1624 Å, c = 4.1624 Å
α = 60.00°, β = 60.00°, γ = 60.00°
Closest atoms and distances in Å follow each position.
Atoms (fractional coordinates):
Ir  0.2500  0.2500  0.2500  4 Ge 2.55
Mo  0.7500  0.7500  0.7500  4 Ge 2.55
Ge  0.0000  0.0000  0.0000  4 Mo 2.55, 4 Ir 2.55

***

ErNiBi: optimized geometry, PBE-GGA.

Calculated values
Total energy = -5.239 eV/atom

a = 7.3574 Å, b = 7.3574 Å, c = 4.1107 Å
α = 90.00°, β = 90.00°, γ = 120.00°
Closest atoms and distances in Å follow each position.
Atoms (fractional coordinates):
Er  0.3891  0.3891  0.5000  5 Ni 2.86-3.07
Er  0.0000  0.6109  0.5000  5 Ni 2.86-3.07
Er  0.6109  0.0000  0.5000  5 Ni 2.86-3.07
Ni  0.0000  0.0000  0.5000  3 Er 2.86, 6 Bi 2.89
Ni  0.6667  0.3333  0.0000  3 Bi 2.69
Ni  0.3333  0.6667  0.0000  3 Bi 2.69
Bi  0.0000  0.2759  0.0000  4 Ni 2.69-2.89
Bi  0.2759  0.0000  0.0000  4 Ni 2.69-2.89
Bi  0.7241  0.7241  0.0000  4 Ni 2.69-2.89

***

GdMgAg4: optimized geometry, PBE-GGA.

Calculated values
Total energy = -3.135 eV/atom

a = 5.5752 Å, b = 5.5752 Å, c = 5.5809 Å
α = 119.97°, β = 119.97°, γ = 60.09°
Closest atoms and distances in Å follow each position.
Atoms (fractional coordinates):
Ag  0.3743  0.3743  0.1236  6 Ag 2.78-2.80
Ag  0.8764  0.3746  0.6258  6 Ag 2.78-2.80
Ag  0.3746  0.8764  0.6258  6 Ag 2.78-2.80
Ag  0.3743  0.3743  0.6256  6 Ag 2.78-2.80
Gd  0.7501  0.7501  0.2502  12 Ag 3.27, 4 Mg 3.41-3.42
Mg  0.0002  0.0002  0.9989  12 Ag 3.26-3.28, 4 Gd 3.41-3.42

***

Hf4In3Mo2C3: optimized geometry, PBE-GGA.

Calculated values
Total energy = -8.614 eV/atom

a = 5.5919 Å, b = 5.5919 Å, c = 14.9484 Å
α = 100.80°, β = 100.80°, γ = 60.18°
Closest atoms and distances in Å follow each position.
Atoms (fractional coordinates):
Hf  0.3054  0.1348  0.9134  3 C 2.25-2.27
Hf  0.0313  0.1928  0.0867  3 C 2.25-2.26
Hf  0.6946  0.8652  0.0866  3 C 2.25-2.27
Hf  0.8072  0.9687  0.4133  3 C 2.25-2.26
Hf  0.1928  0.0313  0.5867  3 C 2.25-2.26
Hf  0.1348  0.3054  0.4134  3 C 2.25-2.27
Hf  0.9687  0.8072  0.9134  3 C 2.25-2.26
Hf  0.8652  0.6946  0.5866  3 C 2.25-2.27
In  0.8951  0.1049  0.7500  6 In 3.03-3.34, 4 Hf 3.06, 2 Mo 3.07
In  0.5831  0.7298  0.7490  6 In 3.03-3.34, 4 Hf 3.06-3.07, 2 Mo 3.09
In  0.2702  0.4169  0.7510  6 In 3.03-3.34, 4 Hf 3.06-3.07, 2 Mo 3.09
In  0.1049  0.8951  0.2500  6 In 3.03-3.34, 4 Hf 3.06, 2 Mo 3.07
In  0.4169  0.2702  0.2510  6 In 3.03-3.34, 4 Hf 3.06-3.07, 2 Mo 3.09
In  0.7298  0.5831  0.2490  6 In 3.03-3.34, 4 Hf 3.06-3.07, 2 Mo 3.09
C  0.3344  0.8307  0.0000  2 Mo 2.17-2.18, 4 Hf 2.25-2.26
C  0.0000  0.5000  0.0000  2 Mo 2.14, 4 Hf 2.26-2.27
C  0.8307  0.3344  0.5000  2 Mo 2.17-2.18, 4 Hf 2.25-2.26
C  0.1693  0.6656  0.5000  2 Mo 2.17-2.18, 4 Hf 2.25-2.26
C  0.5000  0.0000  0.5000  2 Mo 2.14, 4 Hf 2.26-2.27
C  0.6656  0.1693  0.0000  2 Mo 2.17-2.18, 4 Hf 2.25-2.26
Mo  0.3535  0.5250  0.0761  3 C 2.14-2.18
Mo  0.6465  0.4750  0.9239  3 C 2.14-2.18
Mo  0.5250  0.3535  0.5761  3 C 2.14-2.18
Mo  0.4750  0.6465  0.4239  3 C 2.14-2.18

***

TbGdIn5: optimized geometry, PBE-GGA.

Calculated values
Total energy = -3.612 eV/atom

a = 4.6363 Å, b = 4.6363 Å, c = 8.7448 Å
α = 90.00°, β = 90.00°, γ = 90.00°
Closest atoms and distances in Å follow each position.
Atoms (fractional coordinates):
Gd  0.0000  0.0000  0.0000  12 In 3.26-3.28
Tb  0.0000  0.0000  0.5000  8 In 3.12
In  0.5000  0.0000  0.2619  2 Tb 3.12, 2 Gd 3.26, 6 In 3.26-3.28
In  0.5000  0.0000  0.7381  2 Tb 3.12, 2 Gd 3.26, 6 In 3.26-3.28
In  0.0000  0.5000  0.2619  2 Tb 3.12, 6 In 3.26-3.28, 2 Gd 3.26
In  0.5000  0.5000  0.0000  8 In 3.26, 4 Gd 3.28
In  0.0000  0.5000  0.7381  2 Tb 3.12, 6 In 3.26-3.28, 2 Gd 3.26

***

BaDy: optimized geometry, PBE-GGA.

Calculated values
Energy above the most stable polymorph in this dataset = 1.302 eV/atom

a = 5.5615 Å, b = 5.5615 Å, c = 5.5615 Å
α = 60.00°, β = 60.00°, γ = 60.00°
Closest atoms and distances in Å follow each position.
Atoms (fractional coordinates):
Dy  0.2500  0.2500  0.2500  4 Ba 3.41
Ba  0.0000  0.0000  0.0000  4 Dy 3.41

***

ZnH2: optimized geometry, PBE-GGA.

Calculated values
Total energy = -2.394 eV/atom

a = 4.8687 Å, b = 4.8687 Å, c = 4.8687 Å
α = 33.04°, β = 33.04°, γ = 33.04°
Closest atoms and distances in Å follow each position.
Atoms (fractional coordinates):
Zn  0.0000  0.0000  0.0000  6 H 1.87
H  0.2629  0.2629  0.2629  3 Zn 1.87
H  0.7371  0.7371  0.7371  3 Zn 1.87

***

AcZnCd: optimized geometry, PBE-GGA.

Calculated values
Energy above the most stable polymorph in this dataset = 0.410 eV/atom
ΔE_f = 195 meV/atom

a = 5.2574 Å, b = 5.2574 Å, c = 5.2574 Å
α = 60.00°, β = 60.00°, γ = 60.00°
Closest atoms and distances in Å follow each position.
Atoms (fractional coordinates):
Ac  0.0000  0.0000  0.0000  4 Cd 3.22, 4 Zn 3.22
Zn  0.7500  0.7500  0.7500  4 Ac 3.22
Cd  0.2500  0.2500  0.2500  4 Ac 3.22

***

TmBeOs: optimized geometry, PBE-GGA.

Calculated values
Energy above the most stable polymorph in this dataset = 1.052 eV/atom

a = 4.4199 Å, b = 4.4199 Å, c = 4.4199 Å
α = 60.00°, β = 60.00°, γ = 60.00°
Closest atoms and distances in Å follow each position.
Atoms (fractional coordinates):
Tm  0.0000  0.0000  0.0000  4 Os 2.71, 4 Be 2.71
Os  0.7500  0.7500  0.7500  4 Tm 2.71
Be  0.2500  0.2500  0.2500  4 Tm 2.71

***

TbSi4Ir3: optimized geometry, PBE-GGA.

Calculated values
Total energy = -7.202 eV/atom

a = 5.3131 Å, b = 3.7437 Å, c = 6.6817 Å
α = 90.00°, β = 102.46°, γ = 90.00°
Closest atoms and distances in Å follow each position.
Atoms (fractional coordinates):
Si  0.4270  0.5000  0.4514  4 Ir 2.46-2.50, 3 Si 2.62-2.67
Si  0.7940  0.0000  0.4912  3 Ir 2.36-2.56
Si  0.1500  0.5000  0.0759  4 Ir 2.43-2.57, 3 Si 2.59-2.62
Si  0.8061  0.0000  0.9946  5 Ir 2.41-2.46, 2 Si 2.59
Ir  0.1291  0.0000  0.3089  6 Si 2.36-2.50
Ir  0.7878  0.5000  0.7520  6 Si 2.46-2.57
Ir  0.6174  0.5000  0.1457  4 Si 2.43-2.47
Tb  0.2887  0.0000  0.7803  6 Si 2.81-3.09, 1 Ir 3.08